Density functional theory data (GGA+U) for crystalline Rb2FeRuF6 at its relaxed geometry.

```
10
Lattice="5.9799 0.0000 0.0000 0.0000 5.9799 0.0000 2.9899 2.9899 4.2670" Properties=species:S:1:pos:R:3 pbc="T T T"
F 1.5049 4.4750 0.0000
Rb 2.9899 5.9799 2.1335
F 5.9798 5.9798 2.1193
F 1.5049 1.5049 0.0000
Ru 0.0000 0.0000 0.0000
Rb 5.9799 2.9899 2.1335
F 4.4750 4.4750 0.0000
Fe 2.9899 2.9899 0.0000
F 4.4750 1.5049 0.0000
F 2.9899 2.9899 2.1476
```

Properties
As for the space group: No. 139. For the raw total energy, the calculation gives -48.7 eV per cell. As for the calculated volume: 153 Å³ per cell.